VASP calculation (PBE) on a relaxed structure of TaCo4.

Values from the calculation:
DFT formation energy = 0.673 eV/atom
space group = P4/mbm, No. 127
energy above the most stable polymorph in this dataset = 749 meV per atom
E_tot = -7.3823 eV per atom

Cell lengths 8.163, 8.163, 4.416 Å; angles 90.00, 90.00, 90.00 degrees
Fractional positions:
Ta: 0.123 0.377 0.000
Ta: 0.377 0.877 0.000
Ta: 0.623 0.123 0.000
Ta: 0.877 0.623 0.000
Co: 0.000 0.000 0.225
Co: 0.000 0.000 0.775
Co: 0.104 0.208 0.500
Co: 0.107 0.607 0.500
Co: 0.208 0.896 0.500
Co: 0.292 0.396 0.500
Co: 0.393 0.107 0.500
Co: 0.396 0.708 0.500
Co: 0.500 0.500 0.225
Co: 0.500 0.500 0.775
Co: 0.604 0.292 0.500
Co: 0.607 0.893 0.500
Co: 0.708 0.604 0.500
Co: 0.792 0.104 0.500
Co: 0.893 0.393 0.500
Co: 0.896 0.792 0.500



VASP calculation (PBE) on a relaxed structure of Si23Sn4.

Values from the calculation:
ΔE_f (raw) = 0.19 eV/atom
space group = Pm-3n, No. 223
E_tot = -5.0261 eV per atom

Cell lengths 10.201, 10.201, 10.201 Å; angles 90.00, 90.00, 90.00 degrees
Fractional positions:
Si: 0.000 0.117 0.310
Si: 0.000 0.117 0.690
Si: 0.000 0.250 0.500
Si: 0.000 0.750 0.500
Si: 0.000 0.883 0.310
Si: 0.000 0.883 0.690
Si: 0.117 0.310 0.000
Si: 0.117 0.690 0.000
Si: 0.184 0.184 0.184
Si: 0.184 0.184 0.816
Si: 0.184 0.816 0.184
Si: 0.184 0.816 0.816
Si: 0.190 0.383 0.500
Si: 0.190 0.617 0.500
Si: 0.250 0.500 0.000
Si: 0.310 0.000 0.117
Si: 0.310 0.000 0.883
Si: 0.316 0.316 0.316
Si: 0.316 0.316 0.684
Si: 0.316 0.684 0.316
Si: 0.316 0.684 0.684
Si: 0.383 0.500 0.190
Si: 0.383 0.500 0.810
Si: 0.500 0.000 0.250
Si: 0.500 0.000 0.750
Si: 0.500 0.190 0.383
Si: 0.500 0.190 0.617
Si: 0.500 0.810 0.383
Si: 0.500 0.810 0.617
Si: 0.617 0.500 0.190
Si: 0.617 0.500 0.810
Si: 0.684 0.316 0.316
Si: 0.684 0.316 0.684
Si: 0.684 0.684 0.316
Si: 0.684 0.684 0.684
Si: 0.690 0.000 0.117
Si: 0.690 0.000 0.883
Si: 0.750 0.500 0.000
Si: 0.810 0.383 0.500
Si: 0.810 0.617 0.500
Si: 0.816 0.184 0.184
Si: 0.816 0.184 0.816
Si: 0.816 0.816 0.184
Si: 0.816 0.816 0.816
Si: 0.883 0.310 0.000
Si: 0.883 0.690 0.000
Sn: 0.000 0.000 0.000
Sn: 0.000 0.500 0.250
Sn: 0.000 0.500 0.750
Sn: 0.250 0.000 0.500
Sn: 0.500 0.250 0.000
Sn: 0.500 0.500 0.500
Sn: 0.500 0.750 0.000
Sn: 0.750 0.000 0.500



VASP calculation (PBE) on a relaxed structure of PrSmEr4Tm2.

Values from the calculation:
DFT formation energy = 0.436 eV/atom
space group = C2/c, No. 15
E_tot = -4.1503 eV per atom

Cell lengths 9.465, 9.465, 6.766 Å; angles 110.94, 110.94, 88.65 degrees
Fractional positions:
Pr: 0.000 0.000 0.000
Pr: 0.000 0.000 0.500
Sm: 0.000 0.500 0.000
Sm: 0.500 0.000 0.500
Er: 0.252 0.258 0.504
Er: 0.254 0.745 0.501
Er: 0.255 0.746 0.999
Er: 0.258 0.252 0.004
Er: 0.742 0.748 0.996
Er: 0.745 0.254 0.001
Er: 0.746 0.255 0.499
Er: 0.748 0.742 0.496
Tm: 0.000 0.500 0.500
Tm: 0.500 0.000 0.000
Tm: 0.500 0.500 0.000
Tm: 0.500 0.500 0.500



VASP calculation (PBE) on a relaxed structure of MgVGa2.

Values from the calculation:
DFT formation energy = 0.292 eV/atom
space group = I-42d, No. 122
E_tot = -3.8995 eV per atom

Cell lengths 5.762, 5.762, 5.762 Å; angles 104.21, 104.21, 120.60 degrees
Fractional positions:
Mg: 0.000 0.000 0.000
Mg: 0.750 0.250 0.500
V: 0.250 0.750 0.500
V: 0.500 0.500 0.000
Ga: 0.137 0.125 0.512
Ga: 0.375 0.863 0.988
Ga: 0.613 0.625 0.488
Ga: 0.875 0.387 0.012



VASP calculation (PBE) on a relaxed structure of Tb4Pm10Tm.

Values from the calculation:
DFT formation energy = 0.703 eV/atom
space group = I4/m, No. 87
E_tot = -3.9969 eV per atom

Cell lengths 9.533, 9.533, 9.533 Å; angles 99.57, 99.57, 131.86 degrees
Fractional positions:
Tb: 0.101 0.701 0.801
Tb: 0.299 0.101 0.400
Tb: 0.701 0.899 0.600
Tb: 0.899 0.299 0.199
Pm: 0.051 0.350 0.900
Pm: 0.152 0.051 0.701
Pm: 0.250 0.750 0.500
Pm: 0.350 0.451 0.299
Pm: 0.451 0.152 0.100
Pm: 0.549 0.848 0.900
Pm: 0.650 0.549 0.701
Pm: 0.750 0.250 0.500
Pm: 0.848 0.949 0.299
Pm: 0.949 0.650 0.100
Tm: 0.500 0.500 0.000



VASP calculation (PBE) on a relaxed structure of Ce2Zn3Ni12Pt.

Values from the calculation:
DFT formation energy = 0.038 eV/atom
space group = R-3m, No. 166
E_tot = -5.0232 eV per atom

Cell lengths 8.889, 8.889, 8.889 Å; angles 40.86, 40.86, 40.86 degrees
Fractional positions:
Ce: 0.139 0.139 0.139
Ce: 0.861 0.861 0.861
Zn: 0.000 0.500 0.500
Zn: 0.500 0.000 0.500
Zn: 0.500 0.500 0.000
Ni: 0.052 0.633 0.633
Ni: 0.081 0.081 0.699
Ni: 0.081 0.699 0.081
Ni: 0.301 0.919 0.919
Ni: 0.367 0.367 0.948
Ni: 0.367 0.948 0.367
Ni: 0.633 0.052 0.633
Ni: 0.633 0.633 0.052
Ni: 0.699 0.081 0.081
Ni: 0.919 0.301 0.919
Ni: 0.919 0.919 0.301
Ni: 0.948 0.367 0.367
Pt: 0.500 0.500 0.500



VASP calculation (PBE) on a relaxed structure of Sc4Tl.

Values from the calculation:
DFT formation energy = 0.308 eV/atom
space group = I4/mmm, No. 139
energy above the most stable polymorph in this dataset = 411 meV per atom
E_tot = -5.2304 eV per atom

Cell lengths 8.469, 8.469, 8.469 Å; angles 152.41, 152.41, 39.41 degrees
Fractional positions:
Sc: 0.092 0.092 0.000
Sc: 0.250 0.750 0.500
Sc: 0.750 0.250 0.500
Sc: 0.908 0.908 0.000
Tl: 0.500 0.500 0.000



VASP calculation (PBE) on a relaxed structure of CdInB.

Values from the calculation:
DFT formation energy = 0.489 eV/atom
space group = P2/m, No. 10
E_tot = -2.9547 eV per atom

Cell lengths 5.606, 4.148, 5.610 Å; angles 90.00, 102.13, 90.00 degrees
Fractional positions:
Cd: 0.000 0.000 0.000
Cd: 0.500 0.000 0.500
In: 0.204 0.500 0.703
In: 0.796 0.500 0.297
B: 0.385 0.000 0.884
B: 0.615 0.000 0.116



Copy entry 7 word for word.
VASP calculation (PBE) on a relaxed structure of Sc4Tl.

Values from the calculation:
DFT formation energy = 0.308 eV/atom
space group = I4/mmm, No. 139
energy above the most stable polymorph in this dataset = 411 meV per atom
E_tot = -5.2304 eV per atom

Cell lengths 8.469, 8.469, 8.469 Å; angles 152.41, 152.41, 39.41 degrees
Fractional positions:
Sc: 0.092 0.092 0.000
Sc: 0.250 0.750 0.500
Sc: 0.750 0.250 0.500
Sc: 0.908 0.908 0.000
Tl: 0.500 0.500 0.000



What is the formula in the third record?
PrSmEr4Tm2



Which of these has the lowest E_tot?
TaCo4



Which value of E_tot does entry 2 give?
-5.0261 eV per atom